! PBE Y2LuBi, relaxed; values from VASP
! - Relative energy among the computed polymorphs: 0.000 eV per atom
! - Crystal system: tetragonal
! - Calculated volume: 118.65 Å³ per cell
! - Space group: P4/mmm (123)
! - Electronic total energy: -5.71 eV/atom
! - Magnetization: 0.00 μB/f.u.
&SYSTEM
  ibrav = 0, nat = 4, ntyp = 3
/
ATOMIC_SPECIES
Y 88.91 Y.upf
Lu 174.97 Lu.upf
Bi 208.98 Bi.upf
ATOMIC_POSITIONS angstrom
Y 0.000 0.000 5.169
Y 0.000 0.000 1.655
Lu 2.085 2.085 3.412
Bi 2.085 2.085 0.000
CELL_PARAMETERS angstrom
4.170 0.000 0.000
0.000 4.170 0.000
0.000 0.000 6.824

! PBE Nd5Sb2Pt, relaxed; values from VASP
! - Crystal system: orthorhombic
! - Calculated volume: 487.74 Å³ per cell
! - Space group: Cmcm (63)
! - Electronic total energy: -5.42 eV/atom
! - Uncorrected formation energy: -657 meV/atom
! - Magnetization: 0.00 μB/f.u.
&SYSTEM
  ibrav = 0, nat = 16, ntyp = 3
/
ATOMIC_SPECIES
Nd 144.24 Nd.upf
Sb 121.76 Sb.upf
Pt 195.08 Pt.upf
ATOMIC_POSITIONS angstrom
Nd -15.324 2.299 2.594
Nd -11.338 0.539 0.922
Nd -7.398 -1.274 2.425
Nd -3.087 -3.177 0.617
Nd -5.517 -0.216 -1.248
Nd -11.733 2.423 4.510
Nd -9.852 3.482 0.836
Nd -14.163 5.385 2.644
Nd -1.927 -0.091 0.668
Nd -5.912 1.669 2.339
Sb -8.240 0.834 -0.129
Sb -2.906 -1.521 -2.366
Sb -9.010 1.374 3.390
Sb -14.344 3.729 5.627
Pt -12.569 3.154 1.748
Pt -4.681 -0.947 1.514
CELL_PARAMETERS angstrom
-1.952 0.823 -5.520
-1.005 -4.925 2.787
-14.293 6.310 5.994

! PBE AcPrNd2Ho4, relaxed; values from VASP
! - Crystal system: monoclinic
! - Calculated volume: 543.70 Å³ per cell
! - Space group: C2/m (12)
! - Electronic total energy: -4.57 eV/atom
! - Magnetization: 0.00 μB/f.u.
&SYSTEM
  ibrav = 0, nat = 16, ntyp = 4
/
ATOMIC_SPECIES
Ac 227.00 Ac.upf
Pr 140.91 Pr.upf
Nd 144.24 Nd.upf
Ho 164.93 Ho.upf
ATOMIC_POSITIONS angstrom
Ac 2.323 -2.148 1.826
Ac -1.538 -7.357 -3.042
Pr -1.190 -3.102 1.520
Pr -7.026 -1.907 -0.612
Nd -0.348 -4.255 -4.562
Nd -3.513 -0.954 -0.306
Nd -3.165 3.301 4.256
Nd 1.975 -6.403 -2.736
Ho 3.301 -5.376 0.466
Ho -2.517 -4.137 -1.687
Ho 0.138 -2.066 4.727
Ho -5.681 -0.827 2.574
Ho 2.968 -9.592 -4.078
Ho -0.194 -6.300 0.172
Ho -2.186 0.096 2.868
Ho -5.348 3.388 7.118
CELL_PARAMETERS angstrom
-0.696 -8.510 -9.123
4.646 -4.296 3.652
-6.330 6.603 8.511

! PBE ZnSiPt2, relaxed; values from VASP
! - Crystal system: monoclinic
! - Calculated volume: 58.05 Å³ per cell
! - Space group: C2/m (12)
! - Electronic total energy: -5.12 eV/atom
! - Uncorrected formation energy: -424 meV/atom
! - Magnetization: 0.00 μB/f.u.
&SYSTEM
  ibrav = 0, nat = 4, ntyp = 3
/
ATOMIC_SPECIES
Pt 195.08 Pt.upf
Si 28.09 Si.upf
Zn 65.41 Zn.upf
ATOMIC_POSITIONS angstrom
Pt 0.000 0.000 0.000
Pt -1.859 3.629 1.300
Si 0.283 2.660 0.024
Zn 2.134 0.944 1.290
CELL_PARAMETERS angstrom
4.277 -0.025 0.014
-3.710 5.345 0.034
-0.009 1.912 2.566

! PBE YCu2Se, relaxed; values from VASP
! - Crystal system: trigonal
! - Calculated volume: 75.95 Å³ per cell
! - Space group: R-3m (166)
! - Electronic total energy: -4.78 eV/atom
! - Uncorrected formation energy: -243 meV/atom
! - Magnetization: 0.00 μB/f.u.
&SYSTEM
  ibrav = 0, nat = 4, ntyp = 3
/
ATOMIC_SPECIES
Cu 63.55 Cu.upf
Se 78.96 Se.upf
Y 88.91 Y.upf
ATOMIC_POSITIONS angstrom
Cu 13.466 5.229 3.323
Cu 7.333 2.848 1.810
Se 3.466 1.346 0.856
Y 10.399 4.038 2.567
CELL_PARAMETERS angstrom
5.624 -0.043 -0.027
4.121 3.827 -0.027
4.121 1.600 3.477

! PBE NaInHgSb, relaxed; values from VASP
! - Crystal system: cubic
! - Calculated volume: 108.95 Å³ per cell
! - Space group: F-43m (216)
! - Electronic total energy: -2.26 eV/atom
! - Uncorrected formation energy: -135 meV/atom
! - Magnetization: 0.00 μB/f.u.
&SYSTEM
  ibrav = 0, nat = 4, ntyp = 4
/
ATOMIC_SPECIES
Sb 121.76 Sb.upf
Na 22.99 Na.upf
Hg 200.59 Hg.upf
In 114.82 In.upf
ATOMIC_POSITIONS angstrom
Sb -1.844 -0.423 2.683
Na 0.000 0.000 0.000
Hg -5.533 -1.270 8.048
In -3.689 -0.847 5.366
CELL_PARAMETERS angstrom
-4.117 1.941 2.832
-3.320 -3.353 2.545
0.060 -0.281 5.353

! PBE NaTlS2, relaxed; values from VASP
! - Crystal system: trigonal
! - Calculated volume: 92.90 Å³ per cell
! - Space group: R3m (160)
! - Electronic total energy: -3.47 eV/atom
! - Uncorrected formation energy: -488 meV/atom
! - Magnetization: 0.00 μB/f.u.
&SYSTEM
  ibrav = 0, nat = 4, ntyp = 3
/
ATOMIC_SPECIES
Na 22.99 Na.upf
Tl 204.38 Tl.upf
S 32.06 S.upf
ATOMIC_POSITIONS angstrom
Na -3.947 -4.139 -0.389
Tl -5.741 -7.843 -0.212
S -1.586 -5.598 0.608
S -1.995 -1.870 -0.240
CELL_PARAMETERS angstrom
-3.798 -0.195 0.976
-2.681 -0.912 -2.720
-1.420 -7.116 0.953

! PBE Ga3HgRu, relaxed; values from VASP
! - Relative energy among the computed polymorphs: 0.000 eV per atom
! - Crystal system: cubic
! - Calculated volume: 113.90 Å³ per cell
! - Space group: Pm-3m (221)
! - Electronic total energy: -3.82 eV/atom
! - Magnetization: 0.00 μB/f.u.
&SYSTEM
  ibrav = 0, nat = 5, ntyp = 3
/
ATOMIC_SPECIES
Ru 101.07 Ru.upf
Hg 200.59 Hg.upf
Ga 69.72 Ga.upf
ATOMIC_POSITIONS angstrom
Ru 0.000 0.000 0.000
Hg 0.754 -2.701 3.123
Ga -0.441 -2.382 -0.073
Ga 2.173 -0.432 0.982
Ga -0.978 0.113 2.215
CELL_PARAMETERS angstrom
-1.957 0.226 4.429
-0.882 -4.764 -0.146
4.346 -0.865 1.964